The following is a DFT calculation (PBE) of an optimized crystal structure of ScHg2Te.

a b c (Å): 4.597 4.597 9.208
angles (deg): 90.00 90.00 90.00
Space group I-4m2 (No. 119)
One atom of each set of equivalent atoms:
Sc: 0.000 0.000 0.000 (multiplicity 2)
Hg: 0.000 0.000 0.500 (multiplicity 2)
Hg: 0.000 0.500 0.250 (multiplicity 2)
Te: 0.000 0.500 0.750 (multiplicity 2)

The value obtained for the formation energy (no corrections) is -0.31 eV per atom. Its volume is 195 Å³ per cell.